Below is a relaxed structure of Cs2KMo2O7, with properties calculated at the GGA+U level.

**Space group**: R32, No. 155
**Crystal system**: trigonal
**Final energy**: -6.02 eV per atom

abc: 6.7801 6.7801 9.1857
angles: 68.34 68.34 60.00
With the nearest neighbours (Å) after each atom.
Element x y z (fractional)
K: 0.5000 0.5000 0.5000  6 O 2.76
Mo: 0.9231 0.9231 0.2306  4 O 1.80-1.92
O: 0.1829 0.7819 0.3074  1 Mo 1.80
O: 0.7819 0.7278 0.3074  1 Mo 1.80
O: 0.2181 0.8171 0.6926  1 Mo 1.80
Cs: 0.7705 0.7705 0.6886  9 O 3.22-3.59
Cs: 0.2295 0.2295 0.3114  9 O 3.22-3.59
O: 0.8171 0.2722 0.6926  1 Mo 1.80
O: 0.2722 0.2181 0.6926  1 Mo 1.80
O: 0.0000 0.0000 0.0000  2 Mo 1.92
Mo: 0.0769 0.0769 0.7694  4 O 1.80-1.92
O: 0.7278 0.1829 0.3074  1 Mo 1.80